No. 1
A plane-wave DFT calculation with PBE was carried out for a geometry-optimized ErScP2 structure.

Geometry as POSCAR:
```
ErScP2
1.0
3.8680 0.0000 0.0000
1.9340 3.3497 0.0000
1.9340 1.1166 6.2959
P Sc Er
2 1 1
Cartesian
1.9340 1.1166 1.4930
5.8019 3.3497 4.8029
0.0000 0.0000 0.0000
3.8680 2.2332 3.1479
```

Values from the calculation:
* final energy: -27.9 eV/f.u.
* calculated density: 5.581 Mg/m³
* magnetic moment: 0.00 μB per formula unit

No. 2
A plane-wave DFT calculation with PBE was carried out for a geometry-optimized Sc4Te3N2 structure.

Geometry as POSCAR:
```
Sc4Te3N2
1.0
-0.2526 1.1022 6.7644
-11.1469 -1.6434 -0.1485
1.5095 -10.3968 1.7504
Te Sc N
12 16 8
Cartesian
0.1365 -6.6871 3.9534
0.2344 -7.6807 7.5957
-2.8222 -0.7376 6.2429
-7.5673 -7.0788 5.0729
-6.1103 -2.6655 0.8242
-2.3227 -3.8592 3.2934
-3.8777 -7.2789 3.8999
-7.0678 -10.2005 2.1235
-3.7798 -8.2725 7.5422
-6.0123 -3.6591 4.4664
-10.1245 -3.2574 0.7707
-10.0265 -4.2510 4.4130
-2.4054 -3.5644 6.2336
-1.8627 -6.8256 1.5886
-4.7594 -5.0661 1.9813
-5.1306 -5.8719 6.3850
-8.0274 -4.1124 6.7777
-7.1857 -9.7518 6.0081
-10.2820 -6.6314 6.3164
-1.6126 -8.8671 5.4073
0.3920 -4.3066 2.0500
-5.4339 -0.7396 4.7279
-7.4847 -7.3736 2.1327
-9.6076 -10.9579 3.5698
-0.2825 0.0199 4.7965
-4.4562 -10.1984 3.6384
-8.2775 -2.0709 2.9590
-2.7043 -1.1863 2.3582
-3.6746 -4.7325 7.2981
-8.3880 -11.2120 5.2796
-5.5947 -10.8002 5.3168
-1.5021 0.2740 3.0867
-6.2155 -6.2055 1.0683
-0.8813 -4.3207 7.3353
-4.2954 -0.1378 3.0495
-9.0088 -6.6173 1.0310
```

Values from the calculation:
* raw formation energy: -1.437 eV per atom
* calculated density: 4.766 Mg/m³
* magnetic moment: 0.00 μB per formula unit

No. 3
A plane-wave DFT calculation with PBE was carried out for a geometry-optimized Nd4Tm3Th2 structure.

Geometry as POSCAR:
```
Nd4Tm3Th2
1.0
6.1667 0.0811 0.4962
0.6827 9.4329 3.4146
0.2792 -0.4280 10.0421
Nd Tm Th
8 6 4
Cartesian
3.6621 8.5670 5.2582
2.3541 1.2660 4.8767
4.7746 7.8200 9.0762
1.5834 5.1439 10.5994
3.4666 0.5190 8.6946
0.6751 7.6104 3.6531
6.4536 1.4756 10.2997
5.5452 3.9422 3.3534
4.3409 6.4336 12.1953
5.7819 0.5115 3.4718
5.1492 5.6186 6.3912
1.9795 3.4674 7.5617
2.7878 2.6525 1.7575
1.3468 8.5746 10.4810
4.7767 4.1662 9.4547
5.3231 2.2180 6.5894
2.3520 4.9198 4.4981
1.8055 6.8680 7.3635
```

Values from the calculation:
* final energy: -46.3 eV/f.u.
* calculated density: 8.695 Mg/m³
* magnetic moment: 0.00 μB per formula unit

No. 4
A plane-wave DFT calculation with PBE was carried out for a geometry-optimized Nd12TmSc2 structure.

Geometry as POSCAR:
```
Nd12TmSc2
1.0
6.5143 -1.5768 -0.2959
-1.5768 6.5143 -0.2959
-1.5380 -1.5380 25.4231
Nd Sc Tm
24 4 2
Cartesian
-0.8158 3.2298 22.1354
3.0677 2.5651 1.4169
5.7679 -1.7765 7.9650
4.4152 3.8264 4.5532
0.8344 0.3317 23.4145
2.2690 1.7224 7.9650
2.9121 -1.1334 14.0388
0.3553 4.4009 9.7259
3.5438 3.5849 10.7402
1.6770 1.1304 16.8664
-0.4270 -1.0158 20.2782
2.8004 3.3031 23.1187
2.3243 2.2832 13.7953
-1.0014 3.0441 15.1055
1.3577 1.9465 4.8490
5.1759 -2.3685 16.8664
4.5328 0.4873 10.7926
1.1162 1.0751 11.0361
-0.1855 -0.1444 14.0912
3.3013 -0.7442 20.9589
4.1436 0.0981 3.8725
1.4529 2.0418 19.9824
0.1697 4.2152 2.6960
0.0963 0.5990 1.7127
-1.2060 2.8396 7.1242
-1.7397 2.3059 18.5450
0.5598 4.6054 17.7072
1.0935 5.1391 6.2864
4.1667 0.1212 24.5824
3.2782 -0.7673 0.2490
```

Values from the calculation:
* final energy: -72.5 eV/f.u.
* calculated density: 6.554 Mg/m³
* magnetic moment: 0.00 μB per formula unit

No. 5
A plane-wave DFT calculation with PBE was carried out for a geometry-optimized BeHg3 structure.

Geometry as POSCAR:
```
BeHg3
1.0
-1.8091 5.4672 6.3123
-5.4242 -6.3381 -1.8480
1.3655 -1.7161 1.8777
Hg Be
6 2
Cartesian
-1.3952 0.4537 2.5390
-1.4067 -2.6715 1.9107
-4.4611 0.0845 4.4313
-3.7058 -5.3580 1.1274
-2.1620 2.7710 5.2146
-4.4726 -3.0406 3.8029
-3.8778 -2.8320 1.3415
-1.9900 0.2451 5.0004
```

Values from the calculation:
* final energy: -3.4 eV/f.u.
* calculated density: 11.112 Mg/m³
* magnetic moment: 0.00 μB per formula unit

No. 6
A plane-wave DFT calculation with PBE was carried out for a geometry-optimized MnGa structure.

Geometry as POSCAR:
```
MnGa
1.0
5.7450 0.0000 0.0000
0.0000 6.1559 0.0000
0.0000 0.0000 6.7135
Mn Ga
8 8
Cartesian
2.4687 0.3784 5.9544
3.2762 3.4563 4.1159
1.5665 4.9920 4.4664
4.1784 1.9141 5.6038
5.3412 2.6996 0.7591
1.3059 1.1639 1.1097
4.4390 4.2419 2.2471
0.4038 5.7775 2.5976
5.2481 1.9734 3.2665
4.0117 0.5145 1.2001
4.6058 5.6414 4.5569
3.3694 4.1826 6.6233
2.3756 1.1046 3.4470
1.1392 2.5634 5.5134
1.7333 3.5925 2.1566
0.4969 5.0513 0.0902
```

Values from the calculation:
* final energy: -12.0 eV/f.u.
* calculated density: 6.975 Mg/m³
* magnetic moment: 0.06 μB per formula unit